Entry 1:
# Rb2SnMoI6

A geometry-optimized Rb2SnMoI6 structure (PBE, Alexandria).

Unit cell a=8.5412 b=8.5412 c=8.5517 alpha=60.04 beta=60.04 gamma=90.00
Fractional positions:
Rb 0.7500 0.2500 0.5000
Rb 0.2500 0.7500 0.5000
I 0.2613 0.2613 0.0000
I 0.7387 0.7387 0.0000
I 0.2613 0.7387 0.0000
I 0.7389 0.7389 0.5221
I 0.7387 0.2613 0.0000
I 0.2611 0.2611 0.4779
Sn 0.0000 0.0000 0.0000
Mo 0.5000 0.5000 0.0000

- Symmetry: I4/mmm, No. 139
- Final energy: -3.2412 eV per atom

Entry 2:
# PtRh2W

A geometry-optimized PtRh2W structure (PBE, Alexandria).

Unit cell a=9.1821 b=9.1821 c=9.1821 alpha=17.39 beta=17.39 gamma=17.39
Fractional positions:
Pt 0.2489 0.2489 0.2489
Rh 0.0012 0.0012 0.0012
Rh 0.7518 0.7518 0.7518
W 0.4982 0.4982 0.4982

- Energy above the lowest structure with this stoichiometry: 191 meV per atom
- E_form: -1.224 kcal/mol of atoms
- Symmetry: R3m, No. 160
- Final energy: -8.4773 eV per atom

Entry 3:
# Li8Tl3Pb2

A geometry-optimized Li8Tl3Pb2 structure (PBE, Alexandria).

Unit cell a=5.6543 b=5.6543 c=10.7816 alpha=74.80 beta=74.80 gamma=60.00
Fractional positions:
Li 0.7254 0.7254 0.8237
Li 0.2739 0.2739 0.6763
Li 0.7261 0.2241 0.3237
Li 0.7759 0.2739 0.6763
Li 0.2739 0.7759 0.6763
Li 0.2241 0.7261 0.3237
Li 0.7261 0.7261 0.3237
Li 0.2746 0.2746 0.1763
Tl 0.0000 0.0000 0.0000
Tl 0.1849 0.1849 0.4452
Tl 0.8151 0.8151 0.5548
Pb 0.3616 0.3616 0.9153
Pb 0.6384 0.6384 0.0847

- Energy above the lowest structure with this stoichiometry: 69 meV per atom
- E_form: -3.297 kcal/mol of atoms
- Symmetry: R-3m, No. 166
- Final energy: -2.4373 eV per atom

Entry 4:
# HfScI2O

A geometry-optimized HfScI2O structure (PBE, Alexandria).

Unit cell a=5.8986 b=5.8986 c=3.7980 alpha=90.00 beta=90.00 gamma=90.00
Fractional positions:
Hf 0.5000 0.5000 0.5000
I 0.0000 0.5000 0.0000
I 0.5000 0.0000 0.0000
O 0.0000 0.0000 0.5000
Sc 0.0000 0.0000 0.0000

- Energy above the lowest structure with this stoichiometry: 147 meV per atom
- Symmetry: P4/mmm, No. 123
- Final energy: -5.5979 eV per atom

Entry 5:
# HgTe2Pb

A geometry-optimized HgTe2Pb structure (PBE, Alexandria).

Unit cell a=4.3083 b=4.3083 c=6.6532 alpha=90.00 beta=90.00 gamma=90.00
Fractional positions:
Te 0.0000 0.0000 0.5105
Te 0.0000 0.0000 0.9895
Hg 0.5000 0.5000 0.2500
Pb 0.5000 0.5000 0.7500

- Symmetry: P4/mmm, No. 123
- Final energy: -2.6099 eV per atom

Entry 6:
# VAsRu

A geometry-optimized VAsRu structure (PBE, Alexandria).

Unit cell a=6.5554 b=2.9923 c=9.1353 alpha=90.00 beta=100.54 gamma=90.00
Fractional positions:
V 0.0012 0.5000 0.0217
V 0.6150 0.0000 0.3461
V 0.0012 0.0000 0.5217
V 0.6150 0.5000 0.8461
As 0.7193 0.0000 0.0893
As 0.3087 0.0000 0.7355
As 0.3087 0.5000 0.2355
As 0.7193 0.5000 0.5893
Ru 0.9423 0.0000 0.8069
Ru 0.3318 0.0000 0.0154
Ru 0.3318 0.5000 0.5154
Ru 0.9423 0.5000 0.3069

- E_form: -6.263 kcal/mol of atoms
- Symmetry: Cm, No. 8
- Final energy: -7.9529 eV per atom

Entry 7:
# Ac2AsIr

A geometry-optimized Ac2AsIr structure (PBE, Alexandria).

Unit cell a=5.3664 b=5.3664 c=5.3664 alpha=60.00 beta=60.00 gamma=60.00
Fractional positions:
Ac 0.2500 0.2500 0.2500
Ac 0.7500 0.7500 0.7500
Ir 0.0000 0.0000 0.0000
As 0.5000 0.5000 0.5000

- Energy above the lowest structure with this stoichiometry: 20 meV per atom
- E_form: -16.773 kcal/mol of atoms
- Symmetry: Fm-3m, No. 225
- Final energy: -6.1592 eV per atom

Entry 8:
# Rb2TlTeO6

A geometry-optimized Rb2TlTeO6 structure (PBE, Alexandria).

Unit cell a=6.2909 b=6.2909 c=10.6753 alpha=72.86 beta=72.86 gamma=60.00
Fractional positions:
O 0.1823 0.7532 0.8822
O 0.6022 0.1765 0.6192
O 0.1823 0.1823 0.8822
O 0.3978 0.3978 0.3808
O 0.8235 0.3978 0.3808
O 0.7532 0.1823 0.8822
O 0.2468 0.8177 0.1178
O 0.6022 0.6022 0.6192
O 0.8177 0.2468 0.1178
O 0.1765 0.6022 0.6192
O 0.8177 0.8177 0.1178
O 0.3978 0.8235 0.3808
Tl 0.3995 0.3995 0.8014
Tl 0.6005 0.6005 0.1986
Rb 0.1295 0.1295 0.6115
Rb 0.7270 0.7270 0.8191
Rb 0.8705 0.8705 0.3885
Rb 0.2730 0.2730 0.1809
Te 0.0000 0.0000 0.0000
Te 0.5000 0.5000 0.5000

- Symmetry: R-3m, No. 166
- Final energy: -4.7409 eV per atom